# 1
Crystalline Mn3GeH at its relaxed geometry, computed with PBE.

Relative energy among the computed polymorphs (meV per atom): 117

abc: 5.0175 5.0175 4.6252
angles: 93.18 93.18 62.38
Sites, in units of the cell vectors:
Mn (0.1200, 0.1200, 0.3306)
Mn (0.1253, 0.6193, 0.1620)
Mn (0.3807, 0.8747, 0.8380)
Mn (0.3938, 0.3621, 0.6601)
Mn (0.6379, 0.6062, 0.3399)
Mn (0.8800, 0.8800, 0.6694)
Ge (0.6230, 0.0954, 0.1892)
Ge (0.9046, 0.3770, 0.8108)
H (0.2580, 0.7420, 0.5000)
H (0.4335, 0.5665, 0.0000)


# 2
Crystalline Mn3GeH at its relaxed geometry, computed with PBE.

Relative energy among the computed polymorphs (meV per atom): 323

abc: 7.2539 7.2539 6.5396
angles: 116.19 116.19 20.93
Sites, in units of the cell vectors:
Mn (0.0056, 0.0056, 0.1664)
Mn (0.1815, 0.1815, 0.4741)
Mn (0.3542, 0.3542, 0.8653)
Mn (0.6458, 0.6458, 0.1347)
Mn (0.8185, 0.8185, 0.5259)
Mn (0.9944, 0.9944, 0.8336)
Ge (0.1659, 0.1659, 0.8243)
Ge (0.8341, 0.8341, 0.1757)
H (0.4305, 0.4305, 0.6301)
H (0.5695, 0.5695, 0.3699)


Number 1: spin magnetization 1.77 μB per formula unit. Number 2: spin magnetization 0.00 μB per formula unit.